Ta2TcTe (meta-GGA SCAN, single point on PBEsol structure); E_form (uncorrected) = 0.128 eV/atom; DOS(E_F) = 2.55 states/eV/cell; V = 69.9 Å³ per cell
1.0
3.1046 0.0000 0.0000
0.0000 4.1970 0.0000
-0.4093 0.0000 5.3647
Ta Tc Te
2 1 1
direct
0.0496 0.0000 0.2626 Ta
0.9504 0.0000 0.7374 Ta
0.5000 0.5000 0.5000 Tc
0.5000 0.5000 0.0000 Te